First-principles (GGA+U) data for Ba6Nd3TiCu6Mo2O24 after structural relaxation, as listed in Alexandria.

a b c (Å): 8.880 8.880 13.413
angles (deg): 113.41 113.41 36.86
Element x y z (fractional)
Ba: 0.065 0.065 0.196
Ba: 0.270 0.270 0.804
Ba: 0.401 0.401 0.196
Ba: 0.599 0.599 0.804
Ba: 0.730 0.730 0.196
Ba: 0.935 0.935 0.804
Nd: 0.167 0.167 0.500
Nd: 0.500 0.500 0.500
Nd: 0.833 0.833 0.500
Ti: 0.500 0.500 0.000
Cu: 0.045 0.045 0.634
Cu: 0.289 0.289 0.366
Cu: 0.379 0.379 0.637
Cu: 0.621 0.621 0.363
Cu: 0.711 0.711 0.634
Cu: 0.955 0.955 0.366
Mo: 0.164 0.164 0.000
Mo: 0.836 0.836 0.000
O: 0.000 0.500 0.000
O: 0.041 0.543 0.626
O: 0.117 0.117 0.842
O: 0.125 0.625 0.375
O: 0.160 0.670 0.000
O: 0.208 0.710 0.626
O: 0.222 0.222 0.158
O: 0.290 0.792 0.374
O: 0.330 0.840 0.000
O: 0.375 0.875 0.625
O: 0.448 0.448 0.843
O: 0.457 0.959 0.374
O: 0.500 0.000 0.000
O: 0.543 0.041 0.626
O: 0.552 0.552 0.157
O: 0.625 0.125 0.375
O: 0.670 0.160 0.000
O: 0.710 0.208 0.626
O: 0.778 0.778 0.842
O: 0.792 0.290 0.374
O: 0.840 0.330 0.000
O: 0.875 0.375 0.625
O: 0.883 0.883 0.158
O: 0.959 0.457 0.374

Summary:
VASP energy: -6.7045 eV/atom
Symmetry: C2/m (12)
Density: 6518 kg/m³
DOS at the Fermi energy: 0.14 states/eV per atom

First-principles (GGA+U) data for Ba3Cu2MoO8 after structural relaxation, as listed in Alexandria.

a b c (Å): 5.774 5.774 7.676
angles (deg): 90.00 90.00 120.00
Element x y z (fractional)
Ba: 0.000 0.000 0.000
Ba: 0.333 0.667 0.652
Ba: 0.667 0.333 0.348
Cu: 0.333 0.667 0.212
Cu: 0.667 0.333 0.788
Mo: 0.000 0.000 0.500
O: 0.158 0.317 0.350
O: 0.158 0.842 0.350
O: 0.317 0.158 0.650
O: 0.333 0.667 0.978
O: 0.667 0.333 0.022
O: 0.683 0.842 0.350
O: 0.842 0.158 0.650
O: 0.842 0.683 0.650

Summary:
VASP energy: -6.0815 eV/atom
Symmetry: P-3m1 (164)
Density: 5717 kg/m³
DOS at the Fermi energy: 0.66 states/eV per atom